Record 1
Material: ScTl3Co
Method: DFT, PBEsol
State: relaxed

The density of states at the Fermi level is 1.621 states/eV/atom. Its offset from the most stable computed form is 0.924 eV/atom. The value obtained for the formation energy is 1224.1 meV per atom.

The space group is Pm-3m (No. 221) and the conventional cell measures 5.424, 5.424 and 5.424 Å, with angles of 90.00, 90.00 and 90.00 degrees. The distinct sites, in fractional coordinates, are Sc at (0.000, 0.000, 0.000), Tl at (0.000, 0.000, 0.500) and Co at (0.500, 0.500, 0.500).

=====

Record 2
Material: ScTa2Hg
Method: DFT, PBEsol
State: relaxed

The density of states at the Fermi level is 0.956 states/eV/atom. The value obtained for the formation energy is 153.4 meV per atom.

The space group is Cm (No. 8) and the conventional cell measures 9.768, 2.940 and 5.345 Å, with angles of 90.00, 97.76 and 90.00 degrees. The distinct sites, in fractional coordinates, are Sc at (0.000, 0.000, 0.000), Ta at (0.230, 0.000, 0.699), Ta at (0.486, 0.000, 0.511) and Hg at (0.248, 0.500, 0.214).

=====

Record 3
Material: KLi2Ta
Method: DFT, PBEsol
State: relaxed

The density of states at the Fermi level is 0.874 states/eV/atom. Its offset from the most stable computed form is 0.000 eV/atom. The value obtained for the formation energy is 1086.4 meV per atom.

The space group is Pmmm (No. 47) and the conventional cell measures 2.721, 5.774 and 6.113 Å, with angles of 90.00, 90.00 and 90.00 degrees. The distinct sites, in fractional coordinates, are K at (0.000, 0.000, 0.000), Li at (0.000, 0.500, 0.500), Li at (0.500, 0.500, 0.000) and Ta at (0.500, 0.000, 0.500).

=====

Record 4
Material: CsHfTe3
Method: DFT, PBEsol
State: relaxed

The density of states at the Fermi level is 1.273 states/eV/atom. Its offset from the most stable computed form is 2.327 eV/atom. Its formation energy from raw total energies is 1.586 eV/atom.

The space group is Pm-3m (No. 221) and the conventional cell measures 5.890, 5.890 and 5.890 Å, with angles of 90.00, 90.00 and 90.00 degrees. The distinct sites, in fractional coordinates, are Cs at (0.000, 0.000, 0.000), Hf at (0.500, 0.500, 0.500) and Te at (0.000, 0.000, 0.500).

=====

Record 5
Material: KBeP2
Method: DFT, PBEsol
State: relaxed

The density of states at the Fermi level is 0.335 states/eV/atom. The value obtained for the formation energy is 710.4 meV per atom.

The space group is P4/mmm (No. 123) and the conventional cell measures 4.091, 4.091 and 4.069 Å, with angles of 90.00, 90.00 and 90.00 degrees. The distinct sites, in fractional coordinates, are K at (0.000, 0.000, 0.000), Be at (0.500, 0.500, 0.000) and P at (0.000, 0.500, 0.500).

=====

Record 6
Material: SbRh4
Method: DFT, PBEsol
State: relaxed

The density of states at the Fermi level is 1.095 states/eV/atom. Its formation energy from raw total energies is -0.160 eV/atom.

The space group is I4/m (No. 87) and the conventional cell measures 6.076, 6.076 and 3.946 Å, with angles of 90.00, 90.00 and 90.00 degrees. The distinct sites, in fractional coordinates, are Sb at (0.000, 0.000, 0.000) and Rh at (0.104, 0.306, 0.500).

=====

Record 7
Material: LaYRh4
Method: DFT, PBEsol
State: relaxed

The density of states at the Fermi level is 0.470 states/eV/atom. The value obtained for the formation energy is -674.3 meV per atom.

The space group is F-43m (No. 216) and the conventional cell measures 7.510, 7.510 and 7.510 Å, with angles of 90.00, 90.00 and 90.00 degrees. The distinct sites, in fractional coordinates, are La at (0.000, 0.000, 0.000), Y at (0.250, 0.250, 0.250) and Rh at (0.125, 0.125, 0.625).

=====

Record 8
Material: HgPt3
Method: DFT, PBEsol
State: relaxed

The density of states at the Fermi level is 1.490 states/eV/atom. The value obtained for the formation energy is 42.8 meV per atom.

The space group is P4/mmm (No. 123) and the conventional cell measures 2.834, 2.834 and 8.000 Å, with angles of 90.00, 90.00 and 90.00 degrees. The distinct sites, in fractional coordinates, are Hg at (0.000, 0.000, 0.000), Pt at (0.000, 0.000, 0.500) and Pt at (0.500, 0.500, 0.262).

=====

Record 9
Material: K2LiMoBr6
Method: DFT, PBEsol
State: relaxed

Its formation energy from raw total energies is -1.158 eV/atom.

The space group is Fm-3m (No. 225) and the conventional cell measures 10.450, 10.450 and 10.450 Å, with angles of 90.00, 90.00 and 90.00 degrees. The distinct sites, in fractional coordinates, are K at (0.250, 0.250, 0.250), Li at (0.000, 0.000, 0.000), Mo at (0.000, 0.000, 0.500) and Br at (0.000, 0.000, 0.255).

=====

Record 10
Material: TlPd2Pb
Method: DFT, PBEsol
State: relaxed

The density of states at the Fermi level is 0.469 states/eV/atom. The value obtained for the formation energy is -131.5 meV per atom.

The space group is Fm-3m (No. 225) and the conventional cell measures 6.726, 6.726 and 6.726 Å, with angles of 90.00, 90.00 and 90.00 degrees. The distinct sites, in fractional coordinates, are Tl at (0.000, 0.000, 0.000), Pd at (0.250, 0.250, 0.250) and Pb at (0.000, 0.000, 0.500).

=====

Record 11
Material: K2AlSO4F3
Method: DFT, PBEsol
State: relaxed

The density of states at the Fermi level is 0.000 states/eV/atom. Its formation energy from raw total energies is -2.552 eV/atom.

The space group is Pbcn (No. 60) and the conventional cell measures 10.855, 8.332 and 6.866 Å, with angles of 90.00, 90.00 and 90.00 degrees. The distinct sites, in fractional coordinates, are K at (0.199, 0.174, 0.194), Al at (0.000, 0.500, 0.000), S at (0.000, 0.190, 0.750), O at (0.055, 0.298, 0.595), O at (0.100, 0.094, 0.832), F at (0.000, 0.413, 0.250) and F at (0.157, 0.444, 0.976).

=====

Record 12
Material: AgBr
Method: DFT, PBEsol
State: relaxed

Its formation energy from raw total energies is -0.231 eV/atom.

The space group is Cm (No. 8) and the conventional cell measures 12.755, 3.850 and 6.805 Å, with angles of 90.00, 118.57 and 90.00 degrees. The distinct sites, in fractional coordinates, are Ag at (0.000, 0.000, 0.000), Ag at (0.031, 0.000, 0.604), Ag at (0.240, 0.500, 0.755), Br at (0.049, 0.500, 0.326), Br at (0.219, 0.000, 0.021) and Br at (0.377, 0.000, 0.662).

=====

Record 13
Material: Li4Cr5SbO12
Method: DFT, PBEsol
State: relaxed

The density of states at the Fermi level is 0.321 states/eV/atom. Its formation energy from raw total energies is -1.883 eV/atom.

The space group is C2/m (No. 12) and the conventional cell measures 5.146, 8.909 and 10.216 Å, with angles of 90.00, 97.17 and 90.00 degrees. The distinct sites, in fractional coordinates, are Li at (0.217, 0.169, 0.210), Cr at (0.000, 0.000, 0.000), Cr at (0.000, 0.165, 0.500), Cr at (0.000, 0.337, 0.000), Sb at (0.000, 0.500, 0.500), O at (0.136, 0.172, 0.899), O at (0.152, 0.500, 0.898), O at (0.185, 0.000, 0.598) and O at (0.195, 0.330, 0.601).

=====

Record 14
Material: Sr5Bi3
Method: DFT, PBEsol
State: relaxed

The density of states at the Fermi level is 0.145 states/eV/atom. Its offset from the most stable computed form is 0.000 eV/atom. The value obtained for the formation energy is -911.1 meV per atom.

The space group is P6_3/mcm (No. 193) and the conventional cell measures 9.6385, 9.6385 and 7.3971 Å, with angles of 90.00, 90.00 and 120.00 degrees. The distinct sites, in fractional coordinates, are Sr at (0.0000, 0.2519, 0.2500), Sr at (0.3333, 0.6667, 0.0000) and Bi at (0.0000, 0.3910, 0.7500).

=====

Record 15
Material: Rb2HgTe2
Method: DFT, PBEsol
State: relaxed

The density of states at the Fermi level is 0.000 states/eV/atom. Its formation energy from raw total energies is -0.646 eV/atom.

The space group is I4/mmm (No. 139) and the conventional cell measures 7.116, 7.116 and 13.312 Å, with angles of 90.00, 90.00 and 90.00 degrees. The distinct sites, in fractional coordinates, are Rb at (0.000, 0.500, 0.250), Hg at (0.000, 0.000, 0.000) and Te at (0.000, 0.000, 0.196).

=====

Record 16
Material: BeTc2Hg
Method: DFT, PBEsol
State: relaxed

The density of states at the Fermi level is 0.607 states/eV/atom. Its offset from the most stable computed form is 0.028 eV/atom. The value obtained for the formation energy is 407.2 meV per atom.

The space group is Cmm2 (No. 35) and the conventional cell measures 2.933, 4.589 and 8.638 Å, with angles of 90.00, 90.00 and 90.00 degrees. The distinct sites, in fractional coordinates, are Be at (0.000, 0.000, 0.000), Tc at (0.000, 0.000, 0.454), Tc at (0.000, 0.500, 0.213) and Hg at (0.000, 0.500, 0.749).

=====

Record 17
Material: BaY3Zn
Method: DFT, PBEsol
State: relaxed

The density of states at the Fermi level is 1.078 states/eV/atom. The value obtained for the formation energy is 119.4 meV per atom.

The space group is Pm-3m (No. 221) and the conventional cell measures 5.541, 5.541 and 5.541 Å, with angles of 90.00, 90.00 and 90.00 degrees. The distinct sites, in fractional coordinates, are Ba at (0.000, 0.000, 0.000), Y at (0.000, 0.500, 0.500) and Zn at (0.500, 0.500, 0.500).

=====

Record 18
Material: CuPt5
Method: DFT, PBEsol
State: relaxed

The density of states at the Fermi level is 1.708 states/eV/atom. The value obtained for the formation energy is 17.1 meV per atom.

The space group is P-62m (No. 189) and the conventional cell measures 4.7118, 4.7118 and 4.5453 Å, with angles of 90.00, 90.00 and 120.00 degrees. The distinct sites, in fractional coordinates, are Cu at (0.0000, 0.0000, 0.0000), Pt at (0.0000, 0.6669, 0.5000) and Pt at (0.3333, 0.6667, 0.0000).

=====

Record 19
Material: LiB2RhW
Method: DFT, PBEsol
State: relaxed

The density of states at the Fermi level is 0.715 states/eV/atom. The value obtained for the formation energy is 1214.7 meV per atom.

The space group is P4/mmm (No. 123) and the conventional cell measures 3.915, 3.915 and 3.851 Å, with angles of 90.00, 90.00 and 90.00 degrees. The distinct sites, in fractional coordinates, are Li at (0.000, 0.000, 0.000), B at (0.000, 0.500, 0.500), Rh at (0.000, 0.000, 0.500) and W at (0.500, 0.500, 0.000).

=====

Record 20
Material: Na3VSiCO7
Method: DFT, PBEsol
State: relaxed

The density of states at the Fermi level is 0.445 states/eV/atom. Its formation energy from raw total energies is -2.083 eV/atom.

The space group is P2_1/m (No. 11) and the conventional cell measures 5.199, 6.537 and 8.884 Å, with angles of 90.00, 91.80 and 90.00 degrees. The distinct sites, in fractional coordinates, are Na at (0.227, 0.250, 0.088), Na at (0.261, 0.513, 0.722), V at (0.214, 0.750, 0.339), Si at (0.287, 0.250, 0.420), C at (0.284, 0.750, 0.058), O at (0.057, 0.750, 0.116), O at (0.122, 0.250, 0.573), O at (0.223, 0.050, 0.313), O at (0.313, 0.750, 0.916), O at (0.403, 0.750, 0.536) and O at (0.480, 0.750, 0.153).

=====

no.,volume (A^3/atom),calculated density (g/cm³)
1,31.91,7.46
2,19.01,13.26
3,24.01,4.04
4,40.86,5.64
5,17.03,2.68
6,14.57,12.16
7,17.65,10.03
8,16.07,20.31
9,28.53,3.84
10,19.02,13.63
11,14.11,2.76
12,24.46,6.37
13,10.56,4.30
14,37.20,5.94
15,67.42,3.09
16,14.53,11.58
17,34.03,4.58
18,14.57,19.74
19,11.81,8.87
20,11.61,2.99